(1)
HgAsS2N | PBE | optimized geometry

Cell: 4.957 4.957 3.648 Å, 90.00 90.00 90.00°
Element x y z (fractional)
Hg (0.000, 0.000, 0.000)
As (0.500, 0.500, 0.500)
S (0.000, 0.500, 0.500)
S (0.500, 0.000, 0.500)
N (0.500, 0.500, 0.000)

Values from the calculation:
- magnetization (μB per cell) = 0.00
- E_form (uncorrected) (eV per atom) = 0.8366
- energy above the most stable polymorph in this dataset (meV per atom) = 0



(2)
BaTmGa2Pt2 | PBE | optimized geometry

Cell: 4.497 4.497 7.986 Å, 90.00 90.00 120.00°
Element x y z (fractional)
Ba (0.000, 0.000, 0.000)
Tm (0.000, 0.000, 0.500)
Ga (0.333, 0.667, 0.696)
Ga (0.667, 0.333, 0.304)
Pt (0.333, 0.667, 0.312)
Pt (0.667, 0.333, 0.688)

Values from the calculation:
- magnetization (μB per cell) = 0.00
- total energy (eV/atom) = -5.05



(3)
Ca2DyP | PBE | optimized geometry

Cell: 10.828 10.828 10.828 Å, 20.97 20.97 20.97°
Element x y z (fractional)
Ca (0.118, 0.118, 0.118)
Ca (0.882, 0.882, 0.882)
Dy (0.000, 0.000, 0.000)
P (0.500, 0.500, 0.500)

Values from the calculation:
- magnetization (μB per cell) = 0.18
- total energy (eV/atom) = -3.81



(4)
GaPd2Au | PBE | optimized geometry

Cell: 5.010 5.010 5.010 Å, 50.50 50.50 50.50°
Element x y z (fractional)
Ga (0.000, 0.000, 0.000)
Pd (0.361, 0.361, 0.361)
Pd (0.583, 0.583, 0.583)
Au (0.801, 0.801, 0.801)

Values from the calculation:
- magnetization (μB per cell) = 0.00
- total energy (eV/atom) = -4.47



(5)
LaGa3Si | PBE | optimized geometry

Cell: 5.636 5.636 5.636 Å, 90.00 90.00 90.00°
Element x y z (fractional)
La (0.000, 0.000, 0.000)
Ga (0.000, 0.000, 0.500)
Ga (0.000, 0.500, 0.000)
Ga (0.500, 0.000, 0.000)
Si (0.500, 0.500, 0.500)

Values from the calculation:
- magnetization (μB per cell) = 0.00
- E_form (uncorrected) (eV per atom) = 1.1177
- energy above the most stable polymorph in this dataset (meV per atom) = 1166



(6)
YCoNi3 | PBE | optimized geometry

Cell: 4.351 4.351 4.351 Å, 90.00 90.00 90.00°
Element x y z (fractional)
Y (0.000, 0.000, 0.000)
Co (0.500, 0.500, 0.500)
Ni (0.000, 0.500, 0.500)
Ni (0.500, 0.000, 0.500)
Ni (0.500, 0.500, 0.000)

Values from the calculation:
- magnetization (μB per cell) = 3.03
- energy above the most stable polymorph in this dataset (meV per atom) = 377



(7)
TbCeTlIr | PBE | optimized geometry

Cell: 3.462 3.462 8.262 Å, 90.00 90.00 90.00°
Element x y z (fractional)
Tb (0.000, 0.000, 0.000)
Ce (0.000, 0.000, 0.413)
Tl (0.500, 0.500, 0.711)
Ir (0.500, 0.500, 0.204)

Values from the calculation:
- magnetization (μB per cell) = 0.70
- energy above the most stable polymorph in this dataset (meV per atom) = 0



(8)
Y3TmRh | PBE | optimized geometry

Cell: 7.261 7.261 8.056 Å, 123.55 123.55 72.84°
Element x y z (fractional)
Y (0.051, 0.051, 0.339)
Y (0.057, 0.453, 0.216)
Y (0.453, 0.057, 0.216)
Y (0.547, 0.943, 0.784)
Y (0.943, 0.547, 0.784)
Y (0.949, 0.949, 0.661)
Tm (0.448, 0.448, 0.742)
Tm (0.552, 0.552, 0.258)
Rh (0.253, 0.253, 0.872)
Rh (0.747, 0.747, 0.128)

Values from the calculation:
- magnetization (μB per cell) = 1.39
- energy above the most stable polymorph in this dataset (meV per atom) = 0



(9)
Sm5Bi2H | PBE | optimized geometry

Cell: 6.785 6.785 6.785 Å, 116.47 116.47 96.24°
Element x y z (fractional)
Sm (0.000, 0.000, 0.000)
Sm (0.002, 0.002, 0.497)
Sm (0.002, 0.505, 0.000)
Sm (0.505, 0.002, 0.000)
Sm (0.505, 0.505, 0.503)
Bi (0.004, 0.504, 0.500)
Bi (0.504, 0.004, 0.500)
H (0.740, 0.740, 0.000)

Values from the calculation:
- magnetization (μB per cell) = 0.00
- total energy (eV/atom) = -4.75



(10)
TaP2Au | PBE | optimized geometry

Cell: 4.573 4.573 5.172 Å, 91.69 91.69 40.36°
Element x y z (fractional)
Ta (0.000, 0.000, 0.000)
P (0.289, 0.289, 0.165)
P (0.711, 0.711, 0.835)
Au (0.500, 0.500, 0.500)

Values from the calculation:
- magnetization (μB per cell) = 0.00
- energy above the most stable polymorph in this dataset (meV per atom) = 129



(11)
AlAg2Pt | PBE | optimized geometry

Cell: 2.962 3.125 7.138 Å, 90.00 90.00 90.00°
Element x y z (fractional)
Al (0.000, 0.000, 0.000)
Ag (0.000, 0.000, 0.471)
Ag (0.500, 0.500, 0.748)
Pt (0.500, 0.500, 0.188)

Values from the calculation:
- magnetization (μB per cell) = 0.00
- energy above the most stable polymorph in this dataset (meV per atom) = 0



(12)
Pd4Se2I3 | PBE | optimized geometry

Cell: 6.701 6.701 8.902 Å, 108.51 108.51 34.02°
Element x y z (fractional)
Pd (0.047, 0.047, 0.202)
Pd (0.328, 0.328, 0.381)
Pd (0.672, 0.672, 0.619)
Pd (0.953, 0.953, 0.798)
Se (0.319, 0.319, 0.663)
Se (0.681, 0.681, 0.337)
I (0.000, 0.000, 0.500)
I (0.384, 0.384, 0.104)
I (0.616, 0.616, 0.896)

Values from the calculation:
- magnetization (μB per cell) = 0.00
- E_form (uncorrected) (eV per atom) = -0.1207